! Ti5CrP6O24, relaxed, DFT PBE+U; values from VASP
! - Total moment: 4.14 μB per formula unit
! - Calculated total energy: -7.9401 eV/atom
! - Symmetry: No. 146
! - Density of states at the Fermi level: 0.25 states/eV per atom
&SYSTEM
  ibrav = 0, nat = 36, ntyp = 4
/
ATOMIC_SPECIES
Ti 47.87 Ti.upf
O 16.00 O.upf
P 30.97 P.upf
Cr 52.00 Cr.upf
CELL_PARAMETERS angstrom
8.382 -0.081 -0.058
3.877 7.431 -0.058
3.877 2.325 7.058
ATOMIC_POSITIONS crystal
Ti 0.640 0.640 0.640
Ti 0.363 0.363 0.363
Ti 0.864 0.864 0.864
O 0.602 0.442 0.239
O 0.555 0.758 0.407
O 0.255 0.051 0.905
P 0.456 0.039 0.757
P 0.039 0.757 0.456
O 0.239 0.602 0.442
O 0.994 0.184 0.381
O 0.884 0.679 0.502
O 0.051 0.905 0.255
Cr 0.138 0.138 0.138
O 0.494 0.113 0.331
O 0.946 0.102 0.735
Ti 0.499 0.499 0.499
O 0.831 0.610 0.000
O 0.381 0.994 0.184
O 0.905 0.255 0.051
O 0.735 0.946 0.102
P 0.757 0.456 0.039
P 0.960 0.256 0.533
O 0.184 0.381 0.994
O 0.758 0.407 0.555
O 0.000 0.831 0.610
O 0.610 0.000 0.831
O 0.113 0.331 0.494
P 0.256 0.533 0.960
P 0.533 0.960 0.256
O 0.442 0.239 0.602
Ti 0.992 0.992 0.992
O 0.407 0.555 0.758
O 0.679 0.502 0.884
O 0.102 0.735 0.946
O 0.502 0.884 0.679
O 0.331 0.494 0.113